Density functional theory data (PBE with a Hubbard U) for an optimized crystal structure of NiSO2.

**Final energy**: -38.030 eV per cell
**Total magnetic moment**: 2.000 μB/cell

Cell: 4.0861 6.3405 4.7142 Å, 92.45 112.30 98.45°
With the nearest neighbours (Å) after each atom.
Element x y z (fractional)
Ni  0.9289  0.5620  0.9500  5 O 2.01-2.21
Ni  0.1884  0.2460  0.5688  3 O 2.04-2.25, 1 S 2.26
S  0.9576  0.8915  0.4614  2 O 1.52
S  0.6023  0.2935  0.1598  2 O 1.65
O  0.6675  0.3360  0.5261  1 S 1.65
O  0.1624  0.7387  0.3683  1 S 1.52
O  0.9361  0.8424  0.7671  1 S 1.52
O  0.4212  0.4921  0.9843  1 S 1.65